Entry 1
Entry from the Alexandria database: a relaxed structure of SrBeB (PBE).

```
12
Lattice="13.0517 0.0000 0.0000 0.0000 4.8136 0.0000 0.0000 0.0000 4.2135" Properties=species:S:1:pos:R:3 pbc="T T T"
B 6.5259 1.6187 0.0000
B 0.0000 0.7880 2.1067
B 6.5259 3.1948 0.0000
B 0.0000 4.0255 2.1067
Be 7.5101 0.0000 0.0000
Be 0.9842 2.4068 2.1067
Be 5.5416 0.0000 0.0000
Be 12.0675 2.4068 2.1067
Sr 8.4108 2.4068 2.1067
Sr 1.8850 0.0000 0.0000
Sr 4.6409 2.4068 2.1067
Sr 11.1667 0.0000 0.0000
```

Values from the calculation:
Space-group type ... Immm (71)

Entry 2
Entry from the Alexandria database: a relaxed structure of SrBeB (PBE).

```
6
Lattice="3.8618 0.0047 -0.0004 -1.3608 4.8460 -0.0010 -1.2091 -2.4367 7.7135" Properties=species:S:1:pos:R:3 pbc="T T T"
Be 1.6161 3.0230 3.4586
Be 0.8365 -0.4638 3.4603
Sr -1.2231 0.8124 5.4780
Sr 2.6376 0.8104 1.4367
B -0.2528 2.6295 3.4546
B 0.6669 1.3299 3.4562
```

Values from the calculation:
Space-group type ... P1 (1)

Stability ranking, top and bottom: entry 2 is the most stable and entry 1 is the least stable.